DFT (PBE) results for a geometry-optimized Nd6PSe2S3 structure.

Output
size of the total moment	0.00	μB/f.u.
E_form (uncorrected)	-1.914	eV per atom

a b c (Å): 4.118 8.334 9.254
angles (deg): 102.74 102.85 90.00
Fractional coordinates of all 12 atoms:
S1 0.168 0.835 0.337
S2 0.832 0.165 0.663
S3 0.500 0.500 0.000
P1 0.500 0.000 0.000
Nd1 0.340 0.404 0.679
Nd2 0.003 0.757 0.006
Nd3 0.337 0.930 0.674
Nd4 0.660 0.596 0.321
Nd5 0.997 0.243 0.994
Nd6 0.663 0.070 0.326
Se1 0.168 0.337 0.337
Se2 0.832 0.663 0.663